1.
Sm2PRh3 | PBE-GGA | optimized geometry

energy relative to the elements = -0.88 eV per atom
symmetry = R-3m (166)
N(E_F) = 2.806 states/eV/cell
total moment = 0.0 μB per formula unit
E = -7.04 eV per atom

abc: 5.081 5.081 5.081
angles: 66.76 66.76 66.76
Positions (direct):
Sm 0.126 0.126 0.126
Sm 0.874 0.874 0.874
P 0.500 0.500 0.500
Rh 0.000 0.500 0.500
Rh 0.500 0.000 0.500
Rh 0.500 0.500 0.000


2.
Zr5TiN6 | PBE-GGA | optimized geometry

symmetry = C2/m (12)
formation energy from raw total energies = -1661 meV/atom
N(E_F) = 3.846 states/eV/cell
total moment = 0.0 μB per formula unit
E = -10.04 eV per atom

abc: 5.596 5.596 5.588
angles: 99.62 99.62 120.02
Positions (direct):
Zr 0.000 0.000 0.000
Zr 0.166 0.834 0.500
Zr 0.335 0.665 0.000
Zr 0.665 0.335 0.000
Zr 0.834 0.166 0.500
Ti 0.500 0.500 0.500
N 0.093 0.419 0.256
N 0.256 0.256 0.745
N 0.419 0.093 0.256
N 0.581 0.907 0.744
N 0.744 0.744 0.255
N 0.907 0.581 0.744


3.
CdHCl2 | PBE-GGA | optimized geometry

symmetry = Fm-3m (225)
energy relative to the lowest polymorph listed for this composition = 316 meV per atom
N(E_F) = 0.000 states/eV/cell
total moment = 1.0 μB per formula unit
E = -2.05 eV per atom

abc: 4.683 4.683 4.683
angles: 60.00 60.00 60.00
Positions (direct):
Cd 0.000 0.000 0.000
H 0.500 0.500 0.500
Cl 0.250 0.250 0.250
Cl 0.750 0.750 0.750


4.
RbPO3 | PBE-GGA | optimized geometry

symmetry = P2_1/c (14)
formation energy from raw total energies = -2258 meV/atom
N(E_F) = 0.000 states/eV/cell
total moment = 0.0 μB per formula unit
E = -6.51 eV per atom

abc: 7.726 12.788 12.527
angles: 90.00 114.90 90.00
Positions (direct):
Rb 0.082 0.139 0.426
Rb 0.082 0.361 0.926
Rb 0.226 0.081 0.879
Rb 0.226 0.419 0.379
Rb 0.304 0.746 0.904
Rb 0.304 0.754 0.404
Rb 0.696 0.246 0.596
Rb 0.696 0.254 0.096
Rb 0.774 0.581 0.621
Rb 0.774 0.919 0.121
Rb 0.918 0.639 0.074
Rb 0.918 0.861 0.574
P 0.257 0.167 0.182
P 0.257 0.333 0.682
P 0.292 0.564 0.663
P 0.292 0.936 0.163
P 0.391 0.559 0.168
P 0.391 0.941 0.668
P 0.609 0.059 0.332
P 0.609 0.441 0.832
P 0.708 0.064 0.837
P 0.708 0.436 0.337
P 0.743 0.667 0.318
P 0.743 0.833 0.818
O 0.116 0.227 0.212
O 0.116 0.273 0.712
O 0.169 0.647 0.678
O 0.169 0.853 0.178
O 0.177 0.047 0.150
O 0.177 0.453 0.650
O 0.275 0.554 0.038
O 0.275 0.946 0.538
O 0.291 0.577 0.246
O 0.291 0.923 0.746
O 0.314 0.207 0.089
O 0.314 0.293 0.589
O 0.360 0.573 0.567
O 0.360 0.927 0.067
O 0.444 0.149 0.307
O 0.444 0.351 0.807
O 0.475 0.546 0.791
O 0.475 0.954 0.291
O 0.525 0.046 0.709
O 0.525 0.454 0.209
O 0.556 0.649 0.193
O 0.556 0.851 0.693
O 0.640 0.073 0.933
O 0.640 0.427 0.433
O 0.686 0.707 0.411
O 0.686 0.793 0.911
O 0.709 0.077 0.254
O 0.709 0.423 0.754
O 0.725 0.054 0.462
O 0.725 0.446 0.962
O 0.823 0.547 0.350
O 0.823 0.953 0.850
O 0.831 0.147 0.822
O 0.831 0.353 0.322
O 0.884 0.727 0.288
O 0.884 0.773 0.788


5.
Cu3RuPt | PBE-GGA | optimized geometry

energy relative to the elements = 1.48 eV per atom
symmetry = Pm-3m (221)
energy relative to the lowest polymorph listed for this composition = 90 meV per atom
N(E_F) = 4.667 states/eV/cell
total moment = 2.1 μB per formula unit
E = -4.04 eV per atom

abc: 4.527 4.527 4.527
angles: 90.00 90.00 90.00
Positions (direct):
Cu 0.000 0.000 0.500
Cu 0.000 0.500 0.000
Cu 0.500 0.000 0.000
Ru 0.000 0.000 0.000
Pt 0.500 0.500 0.500


6.
MgTlZn2 | PBE-GGA | optimized geometry

energy relative to the elements = 0.19 eV per atom
symmetry = I-42d (122)
energy relative to the lowest polymorph listed for this composition = 141 meV per atom
N(E_F) = 2.914 states/eV/cell
total moment = 0.0 μB per formula unit
E = -1.43 eV per atom

abc: 6.276 6.276 6.276
angles: 102.47 102.47 124.63
Positions (direct):
Mg 0.000 0.000 0.000
Mg 0.750 0.250 0.500
Tl 0.250 0.750 0.500
Tl 0.500 0.500 0.000
Zn 0.119 0.625 0.994
Zn 0.375 0.369 0.494
Zn 0.631 0.125 0.006
Zn 0.875 0.881 0.506


7.
BaBe2Hg | PBE-GGA | optimized geometry

energy relative to the elements = 0.51 eV per atom
symmetry = Cmmm (65)
N(E_F) = 2.244 states/eV/cell
total moment = 0.0 μB per formula unit
E = -1.91 eV per atom

abc: 3.540 3.540 7.204
angles: 90.00 90.00 99.09
Positions (direct):
Ba 0.000 0.000 0.000
Be 0.500 0.500 0.345
Be 0.500 0.500 0.655
Hg 0.000 0.000 0.500


8.
PaNi2P2 | PBE-GGA | optimized geometry

energy relative to the elements = -0.80 eV per atom
symmetry = Fddd (70)
N(E_F) = 7.106 states/eV/cell
total moment = 0.0 μB per formula unit
E = -7.17 eV per atom

abc: 7.435 6.400 5.469
angles: 77.13 57.06 45.81
Positions (direct):
Pa 0.125 0.125 0.125
Pa 0.875 0.875 0.875
Ni 0.269 0.269 0.481
Ni 0.481 0.481 0.269
Ni 0.519 0.519 0.731
Ni 0.731 0.731 0.519
P 0.174 0.576 0.174
P 0.424 0.826 0.424
P 0.576 0.174 0.576
P 0.826 0.424 0.826